SnBiAu3 PBE-GGA optimized geometry; energy relative to the elements = 2.84 eV/f.u.; E_tot = -0.1093 hartree per atom; magnetization = 0.000 μB/cell; space group = Pm-3m
1.0
5.374 0.000 0.000
0.000 5.374 0.000
0.000 0.000 5.374
Sn Bi Au
1 1 3
Cartesian
0.000 0.000 0.000
2.687 2.687 2.687
0.000 2.687 2.687
2.687 0.000 2.687
2.687 2.687 0.000